VASP calculation (PBE+U) on a relaxed Rb2TcNiF6 crystal.

Structure (CIF):
```
data_Rb2TcNiF6
_chemical_formula_sum 'Rb2 Tc1 Ni1 F6'
_symmetry_space_group_name_H-M 'P 1'
_symmetry_Int_Tables_number 1
_cell_length_a 6.200
_cell_length_b 6.200
_cell_length_c 6.200
_cell_angle_alpha 123.24
_cell_angle_beta 123.24
_cell_angle_gamma 84.47
loop_
_symmetry_equiv_pos_as_xyz
'x,y,z'
loop_
_atom_site_label
_atom_site_fract_x
_atom_site_fract_y
_atom_site_fract_z
Rb1 0.250 0.750 0.500
Rb2 0.750 0.250 0.500
Tc1 0.000 0.000 0.000
Ni1 0.500 0.500 0.000
F1 0.218 0.218 0.000
F2 0.250 0.250 0.500
F3 0.250 0.750 0.000
F4 0.750 0.250 0.000
F5 0.750 0.750 0.500
F6 0.782 0.782 0.000
```

## Properties
uncorrected energy = -4.697 eV/atom